No. 1
DFT (SCAN) results for a crystal of Sn3Hg relaxed with PBEsol.

Cell and atoms, written as CIF:
```
data_Sn3Hg
_cell_length_a 6.5700
_cell_length_b 6.5700
_cell_length_c 5.4644
_cell_angle_alpha 90.00
_cell_angle_beta 90.00
_cell_angle_gamma 120.00
_symmetry_space_group_name_H-M 'P 63/m m c'
_symmetry_Int_Tables_number 194
_symmetry_space_group_name_Hall '-P 6c 2c'
loop_
_atom_site_label
_atom_site_type_symbol
_atom_site_fract_x
_atom_site_fract_y
_atom_site_fract_z
_atom_site_occupancy
Sn1 Sn 0.1667 0.3334 0.2500 1
Hg1 Hg 0.3333 0.6667 0.7500 1
```

VASP energy = -175.1 eV/f.u.

No. 2
DFT (SCAN) results for a crystal of Sr2DyFeO6 relaxed with PBEsol.

Cell and atoms, written as CIF:
```
data_Sr2DyFeO6
_cell_length_a 8.0002
_cell_length_b 8.0002
_cell_length_c 8.0002
_cell_angle_alpha 90.00
_cell_angle_beta 90.00
_cell_angle_gamma 90.00
_symmetry_space_group_name_H-M 'F m -3 m'
_symmetry_Int_Tables_number 225
_symmetry_space_group_name_Hall '-F 4 2 3'
loop_
_atom_site_label
_atom_site_type_symbol
_atom_site_fract_x
_atom_site_fract_y
_atom_site_fract_z
_atom_site_occupancy
Sr1 Sr 0.2500 0.2500 0.2500 1
Dy1 Dy 0.0000 0.0000 0.0000 1
Fe1 Fe 0.0000 0.0000 0.5000 1
O1 O 0.0000 0.0000 0.2705 1
```

E_form (uncorrected) = -2.775 eV/atom

No. 3
DFT (SCAN) results for a crystal of HgOs3I relaxed with PBEsol.

Cell and atoms, written as CIF:
```
data_HgOs3I
_cell_length_a 4.7586
_cell_length_b 4.7586
_cell_length_c 4.7586
_cell_angle_alpha 90.00
_cell_angle_beta 90.00
_cell_angle_gamma 90.00
_symmetry_space_group_name_H-M 'P m -3 m'
_symmetry_Int_Tables_number 221
_symmetry_space_group_name_Hall '-P 4 2 3'
loop_
_atom_site_label
_atom_site_type_symbol
_atom_site_fract_x
_atom_site_fract_y
_atom_site_fract_z
_atom_site_occupancy
Hg1 Hg 0.0000 0.0000 0.0000 1
Os1 Os 0.0000 0.5000 0.5000 1
I1 I 0.5000 0.5000 0.5000 1
```

E_form (uncorrected) = 2.897 eV/atom

Please write out number 2 again, unchanged.
DFT (SCAN) results for a crystal of Sr2DyFeO6 relaxed with PBEsol.

Cell and atoms, written as CIF:
```
data_Sr2DyFeO6
_cell_length_a 8.0002
_cell_length_b 8.0002
_cell_length_c 8.0002
_cell_angle_alpha 90.00
_cell_angle_beta 90.00
_cell_angle_gamma 90.00
_symmetry_space_group_name_H-M 'F m -3 m'
_symmetry_Int_Tables_number 225
_symmetry_space_group_name_Hall '-F 4 2 3'
loop_
_atom_site_label
_atom_site_type_symbol
_atom_site_fract_x
_atom_site_fract_y
_atom_site_fract_z
_atom_site_occupancy
Sr1 Sr 0.2500 0.2500 0.2500 1
Dy1 Dy 0.0000 0.0000 0.0000 1
Fe1 Fe 0.0000 0.0000 0.5000 1
O1 O 0.0000 0.0000 0.2705 1
```

E_form (uncorrected) = -2.775 eV/atom

What did the second record say?
DFT (SCAN) results for a crystal of Sr2DyFeO6 relaxed with PBEsol.

Cell and atoms, written as CIF:
```
data_Sr2DyFeO6
_cell_length_a 8.0002
_cell_length_b 8.0002
_cell_length_c 8.0002
_cell_angle_alpha 90.00
_cell_angle_beta 90.00
_cell_angle_gamma 90.00
_symmetry_space_group_name_H-M 'F m -3 m'
_symmetry_Int_Tables_number 225
_symmetry_space_group_name_Hall '-F 4 2 3'
loop_
_atom_site_label
_atom_site_type_symbol
_atom_site_fract_x
_atom_site_fract_y
_atom_site_fract_z
_atom_site_occupancy
Sr1 Sr 0.2500 0.2500 0.2500 1
Dy1 Dy 0.0000 0.0000 0.0000 1
Fe1 Fe 0.0000 0.0000 0.5000 1
O1 O 0.0000 0.0000 0.2705 1
```

E_form (uncorrected) = -2.775 eV/atom